A plane-wave DFT calculation with PBE was carried out for a geometry-optimized NiIr2Pb structure.

Summary:
Energy of formation (eV per formula unit): 1.44
Total magnetization (μB/f.u.): 0.01

abc: 8.8289 2.9949 4.9673
angles: 90.00 100.49 90.00
With the nearest neighbours (Å) after each atom.
Element x y z (fractional)
Ni (0.0000, 0.0000, 0.0000)  6 Ir 2.67-2.69, 4 Pb 2.90
Ni (0.5000, 0.5000, 0.0000)  6 Ir 2.67-2.69, 4 Pb 2.90
Ir (0.2419, 0.5000, 0.2151)  2 Ir 2.63, 3 Ni 2.67-2.69, 3 Pb 2.77-2.87
Ir (0.2581, 0.0000, 0.7849)  2 Ir 2.63, 3 Ni 2.67-2.69, 3 Pb 2.77-2.87
Ir (0.7419, 0.0000, 0.2151)  2 Ir 2.63, 3 Ni 2.67-2.69, 3 Pb 2.77-2.87
Ir (0.7581, 0.5000, 0.7849)  2 Ir 2.63, 3 Ni 2.67-2.69, 3 Pb 2.77-2.87
Pb (0.0000, 0.5000, 0.5000)  6 Ir 2.77-2.87, 4 Ni 2.90, 2 Pb 2.99
Pb (0.5000, 0.0000, 0.5000)  6 Ir 2.77-2.87, 4 Ni 2.90, 2 Pb 2.99